# 1
Compound: ScAlGaCo
Source: the Alexandria database
Functional: PBE-GGA
Structure: optimized geometry

The structure belongs to space group F-43m (No. 216); the cell edges are 6.204, 6.204 and 6.204 Å and the angles 90.00°, 90.00° and 90.00°. The distinct sites, in fractional coordinates, are Sc at (0.000, 0.000, 0.000), Al at (0.000, 0.000, 0.500), Ga at (0.250, 0.250, 0.750) and Co at (0.250, 0.250, 0.250).

As for the formation energy: -1.48 eV per formula unit. The electronic total energy is -5.4225 eV/atom.

---

# 2
Compound: HfBe2Pd
Source: the Alexandria database
Functional: PBE-GGA
Structure: optimized geometry

The structure belongs to space group Fm-3m (No. 225); the cell edges are 5.923, 5.923 and 5.923 Å and the angles 90.00°, 90.00° and 90.00°. The distinct sites, in fractional coordinates, are Hf at (0.000, 0.000, 0.000), Be at (0.250, 0.250, 0.250) and Pd at (0.000, 0.000, 0.500).

The energy above the lowest structure with this stoichiometry is 0.0000 eV/atom. As for the formation energy: -1.23 eV per formula unit. The electronic total energy is -5.9560 eV/atom.

---

# 3
Compound: Sm2SbS5
Source: the Alexandria database
Functional: PBE-GGA
Structure: optimized geometry

The structure belongs to space group Pbam (No. 55); the cell edges are 7.767, 11.478 and 3.970 Å and the angles 90.00°, 90.00° and 90.00°. The distinct sites, in fractional coordinates, are Sm at (0.036, 0.173, 0.000), Sb at (0.000, 0.500, 0.500), S at (0.000, 0.000, 0.500), S at (0.175, 0.407, 0.000) and S at (0.176, 0.699, 0.500).

The energy above the lowest structure with this stoichiometry is 0.0000 eV/atom. The electronic total energy is -5.6193 eV/atom. For the uncorrected formation energy, the calculation gives -1345 meV/atom.

---

# 4
Compound: PmYTl
Source: the Alexandria database
Functional: PBE-GGA
Structure: optimized geometry

The structure belongs to space group F-43m (No. 216); the cell edges are 7.438, 7.438 and 7.438 Å and the angles 90.00°, 90.00° and 90.00°. The distinct sites, in fractional coordinates, are Pm at (0.000, 0.000, 0.000), Y at (0.000, 0.000, 0.500) and Tl at (0.250, 0.250, 0.750).

The energy above the lowest structure with this stoichiometry is 0.2290 eV/atom. As for the formation energy: -0.19 eV per formula unit. The electronic total energy is -4.5908 eV/atom.

---

# 5
Compound: NdPHPd2
Source: the Alexandria database
Functional: PBE-GGA
Structure: optimized geometry

The structure belongs to space group Cmcm (No. 63); the cell edges are 4.007, 10.608 and 7.272 Å and the angles 90.00°, 90.00° and 90.00°. The distinct sites, in fractional coordinates, are Nd at (0.000, 0.058, 0.250), P at (0.000, 0.225, 0.750), H at (0.000, 0.500, 0.000) and Pd at (0.000, 0.338, 0.057).

The electronic total energy is -5.6068 eV/atom.

---

# 6
Compound: Tb6PmPr3
Source: the Alexandria database
Functional: PBE-GGA
Structure: optimized geometry

The structure belongs to space group Cmc2_1 (No. 36); the cell edges are 11.049, 19.119 and 6.407 Å and the angles 90.00°, 90.00° and 90.00°. The distinct sites, in fractional coordinates, are Tb at (0.000, 0.038, 0.000), Tb at (0.000, 0.273, 0.218), Tb at (0.168, 0.455, 0.318), Tb at (0.239, 0.291, 0.493), Pm at (0.000, 0.193, 0.741), Pr at (0.000, 0.387, 0.794) and Pr at (0.177, 0.114, 0.403).

The energy above the lowest structure with this stoichiometry is 0.0000 eV/atom. As for the formation energy: 1.45 eV per formula unit. The electronic total energy is -4.5421 eV/atom.

---

# 7
Compound: CoC3
Source: the Alexandria database
Functional: PBE-GGA
Structure: optimized geometry

The structure belongs to space group Pmmn (No. 59, origin choice 2); the cell edges are 3.891, 4.545 and 4.112 Å and the angles 90.00°, 90.00° and 90.00°. The distinct sites, in fractional coordinates, are Co at (0.250, 0.250, 0.233), C at (0.072, 0.750, 0.088) and C at (0.250, 0.750, 0.402).

The energy above the lowest structure with this stoichiometry is 0.9955 eV/atom. As for the formation energy: 6.45 eV per formula unit. The electronic total energy is -7.0815 eV/atom.

---

# 8
Compound: As3Rh
Source: the Alexandria database
Functional: PBE-GGA
Structure: optimized geometry

The structure belongs to space group Im-3 (No. 204); the cell edges are 8.576, 8.576 and 8.576 Å and the angles 90.00°, 90.00° and 90.00°. The distinct sites, in fractional coordinates, are As at (0.000, 0.147, 0.349) and Rh at (0.250, 0.250, 0.250).

The energy above the lowest structure with this stoichiometry is 0.0000 eV/atom. As for the formation energy: -1.77 eV per formula unit. The electronic total energy is -5.7675 eV/atom.

---

# 9
Compound: Er6RhSe2S3
Source: the Alexandria database
Functional: PBE-GGA
Structure: optimized geometry

The structure belongs to space group C2/m (No. 12); the cell edges are 17.334, 3.899 and 8.025 Å and the angles 90.00°, 103.09° and 90.00°. The distinct sites, in fractional coordinates, are Er at (0.004, 0.000, 0.263), Er at (0.162, 0.500, 0.094), Er at (0.163, 0.500, 0.572), Rh at (0.000, 0.500, 0.500), Se at (0.168, 0.000, 0.839), S at (0.000, 0.500, 0.000) and S at (0.172, 0.000, 0.334).

The electronic total energy is -6.1802 eV/atom. For the uncorrected formation energy, the calculation gives -1674 meV/atom.

---

# 10
Compound: PmSbRh
Source: the Alexandria database
Functional: PBE-GGA
Structure: optimized geometry

The structure belongs to space group F-43m (No. 216); the cell edges are 6.663, 6.663 and 6.663 Å and the angles 90.00°, 90.00° and 90.00°. The distinct sites, in fractional coordinates, are Pm at (0.000, 0.000, 0.000), Sb at (0.000, 0.000, 0.500) and Rh at (0.250, 0.250, 0.250).

The energy above the lowest structure with this stoichiometry is 0.1124 eV/atom. The electronic total energy is -6.2949 eV/atom. For the uncorrected formation energy, the calculation gives -887 meV/atom.

---

# 11
Compound: K2ThUN4
Source: the Alexandria database
Functional: PBE-GGA
Structure: optimized geometry

The structure belongs to space group P2/m (No. 10); the cell edges are 6.269, 3.646 and 6.767 Å and the angles 90.00°, 107.92° and 90.00°. The distinct sites, in fractional coordinates, are K at (0.000, 0.000, 0.000), K at (0.500, 0.500, 0.000), Th at (0.000, 0.500, 0.500), U at (0.500, 0.000, 0.500), N at (0.254, 0.000, 0.660) and N at (0.298, 0.500, 0.338).

The electronic total energy is -7.8185 eV/atom. For the uncorrected formation energy, the calculation gives -1043 meV/atom.

---

# 12
Compound: NdCdIn
Source: the Alexandria database
Functional: PBE-GGA
Structure: optimized geometry

The structure belongs to space group P-3m1 (No. 164); the cell edges are 4.9422, 4.9422 and 7.7208 Å and the angles 90.00°, 90.00° and 120.00°. The distinct sites, in fractional coordinates, are Nd at (0.0000, 0.0000, 0.2387), Cd at (0.3333, 0.6667, 0.9758) and In at (0.3333, 0.6667, 0.5518).

As for the formation energy: -1.31 eV per formula unit. The electronic total energy is -3.2432 eV/atom.

---

# 13
Compound: ScNi2SbRu
Source: the Alexandria database
Functional: PBE-GGA
Structure: optimized geometry

The structure belongs to space group P4/mmm (No. 123); the cell edges are 4.548, 4.548 and 4.889 Å and the angles 90.00°, 90.00° and 90.00°. The distinct sites, in fractional coordinates, are Sc at (0.000, 0.000, 0.000), Ni at (0.000, 0.500, 0.500), Sb at (0.500, 0.500, 0.500) and Ru at (0.500, 0.500, 0.000).

The electronic total energy is -5.6708 eV/atom. For the uncorrected formation energy, the calculation gives 588 meV/atom.

---

# 14
Compound: V4Ir7Rh6
Source: the Alexandria database
Functional: PBE-GGA
Structure: optimized geometry

The structure belongs to space group Im-3m (No. 229); the cell edges are 8.018, 8.018 and 8.018 Å and the angles 90.00°, 90.00° and 90.00°. The distinct sites, in fractional coordinates, are V at (0.250, 0.250, 0.250), Ir at (0.000, 0.000, 0.000), Ir at (0.000, 0.250, 0.500) and Rh at (0.000, 0.000, 0.296).

As for the formation energy: 1.45 eV per formula unit. The electronic total energy is -8.3034 eV/atom.

---

# 15
Compound: Mn2SbRuC
Source: the Alexandria database
Functional: PBE-GGA
Structure: optimized geometry

The structure belongs to space group P4/mmm (No. 123); the cell edges are 3.908, 3.908 and 4.146 Å and the angles 90.00°, 90.00° and 90.00°. The distinct sites, in fractional coordinates, are Mn at (0.000, 0.500, 0.000), Sb at (0.000, 0.000, 0.500), Ru at (0.500, 0.500, 0.500) and C at (0.500, 0.500, 0.000).

The electronic total energy is -8.0708 eV/atom. For the uncorrected formation energy, the calculation gives 121 meV/atom.

---

# 16
Compound: RbLiMnS2
Source: the Alexandria database
Functional: PBE-GGA
Structure: optimized geometry

The structure belongs to space group I-4m2 (No. 119); the cell edges are 3.926, 3.926 and 13.143 Å and the angles 90.00°, 90.00° and 90.00°. The distinct sites, in fractional coordinates, are Rb at (0.000, 0.000, 0.000), Li at (0.000, 0.500, 0.250), Mn at (0.000, 0.500, 0.750) and S at (0.000, 0.000, 0.337).

The electronic total energy is -4.8114 eV/atom. For the uncorrected formation energy, the calculation gives -750 meV/atom.

---

# 17
Compound: AcGd2Ni
Source: the Alexandria database
Functional: PBE-GGA
Structure: optimized geometry

The structure belongs to space group P4/mmm (No. 123); the cell edges are 3.568, 3.568 and 9.082 Å and the angles 90.00°, 90.00° and 90.00°. The distinct sites, in fractional coordinates, are Ac at (0.000, 0.000, 0.000), Gd at (0.500, 0.500, 0.325) and Ni at (0.000, 0.000, 0.500).

The energy above the lowest structure with this stoichiometry is 0.0000 eV/atom. As for the formation energy: -0.47 eV per formula unit. The electronic total energy is -9.6311 eV/atom.

---

# 18
Compound: Ac12MgGe6
Source: the Alexandria database
Functional: PBE-GGA
Structure: optimized geometry

The structure belongs to space group Im-3 (No. 204); the cell edges are 11.141, 11.141 and 11.141 Å and the angles 90.00°, 90.00° and 90.00°. The distinct sites, in fractional coordinates, are Ac at (0.000, 0.300, 0.188), Mg at (0.000, 0.000, 0.000) and Ge at (0.000, 0.115, 0.500).

As for the formation energy: -8.61 eV per formula unit. The electronic total energy is -4.5900 eV/atom.

---

# 19
Compound: PuThAlIn
Source: the Alexandria database
Functional: PBE-GGA
Structure: optimized geometry

The structure belongs to space group F-43m (No. 216); the cell edges are 7.503, 7.503 and 7.503 Å and the angles 90.00°, 90.00° and 90.00°. The distinct sites, in fractional coordinates, are Pu at (0.000, 0.000, 0.000), Th at (0.000, 0.000, 0.500), Al at (0.250, 0.250, 0.750) and In at (0.250, 0.250, 0.250).

As for the formation energy: -0.46 eV per formula unit. The electronic total energy is -7.1723 eV/atom.

---

# 20
Compound: Sr3Tb3YTe8
Source: the Alexandria database
Functional: PBE-GGA
Structure: optimized geometry

The structure belongs to space group R-3m (No. 166, hexagonal axes); the cell edges are 8.9005, 8.9005 and 22.9014 Å and the angles 90.00°, 90.00° and 120.00°. The distinct sites, in fractional coordinates, are Sr at (0.0000, 0.5000, 0.0000), Tb at (0.0000, 0.5000, 0.5000), Y at (0.0000, 0.0000, 0.5000), Te at (0.0000, 0.0000, 0.2440) and Te at (0.0036, 0.5018, 0.7561).

The electronic total energy is -4.8959 eV/atom. For the uncorrected formation energy, the calculation gives -1527 meV/atom.

---

# 21
Compound: Sm3ThTc
Source: the Alexandria database
Functional: PBE-GGA
Structure: optimized geometry

The structure belongs to space group C2/m (No. 12); the cell edges are 11.899, 8.887 and 8.199 Å and the angles 90.00°, 133.48° and 90.00°. The distinct sites, in fractional coordinates, are Sm at (0.046, 0.000, 0.335), Sm at (0.246, 0.302, 0.786), Th at (0.046, 0.500, 0.252) and Tc at (0.234, 0.500, 0.129).

As for the formation energy: -0.11 eV per formula unit. The electronic total energy is -6.4099 eV/atom.

---

# 22
Compound: CdAsIr2
Source: the Alexandria database
Functional: PBE-GGA
Structure: optimized geometry

The structure belongs to space group Cmmm (No. 65); the cell edges are 2.917, 4.992 and 9.086 Å and the angles 90.00°, 90.00° and 90.00°. The distinct sites, in fractional coordinates, are Cd at (0.000, 0.000, 0.000), As at (0.000, 0.000, 0.500) and Ir at (0.000, 0.500, 0.269).

The energy above the lowest structure with this stoichiometry is 0.2237 eV/atom. As for the formation energy: 1.26 eV per formula unit. The electronic total energy is -5.5066 eV/atom.

---

# 23
Compound: Na2MnTlI6
Source: the Alexandria database
Functional: PBE-GGA
Structure: optimized geometry

The structure belongs to space group R3 (No. 146, hexagonal axes); the cell edges are 7.9377, 7.9377 and 21.4977 Å and the angles 90.00°, 90.00° and 120.00°. The distinct sites, in fractional coordinates, are Na at (0.0000, 0.0000, 0.0000), Na at (0.0000, 0.0000, 0.4856), Mn at (0.0000, 0.0000, 0.6791), Tl at (0.0000, 0.0000, 0.1878), I at (0.0003, 0.7157, 0.5995) and I at (0.0200, 0.3042, 0.7525).

The electronic total energy is -3.0670 eV/atom. For the uncorrected formation energy, the calculation gives -720 meV/atom.